Material: Dy3ZnFe
Method: DFT, PBE-GGA
State: relaxed

The density of states at the Fermi level comes out at 1.24 states/eV/atom. Its formation energy is -0.512 eV/f.u. The crystal system is monoclinic. The calculation puts the total energy at -4.811 eV/atom.

```
data_Dy3ZnFe
_chemical_formula_sum 'Dy12 Zn4 Fe4'
_space_group_name_H-M_alt 'C 1 2/m 1'
_space_group_IT_number 12
_cell_length_a 15.595
_cell_length_b 3.756
_cell_length_c 8.305
_cell_angle_alpha 90.00
_cell_angle_beta 90.44
_cell_angle_gamma 90.00
loop_
_space_group_symop_operation_xyz
'x,y,z'
'-x,-y,-z'
'-x,y,-z'
'x,-y,z'
'x+1/2,y+1/2,z'
'-x+1/2,-y+1/2,-z'
'-x+1/2,y+1/2,-z'
'x+1/2,-y+1/2,z'
loop_
_atom_site_label
_atom_site_fract_x
_atom_site_fract_y
_atom_site_fract_z
Dy1 0.059 0.000 0.206
Dy2 0.098 0.500 0.563
Dy3 0.240 0.000 0.807
Zn1 0.093 0.500 0.930
Fe1 0.227 0.000 0.460
```